1.
LiPmSmPt (GGA-PBE, relaxed); formation enthalpy at 0 K = -559.0 meV/atom
1.0
-2.459 1.905 -4.045
1.784 -0.853 -4.704
-2.518 -3.120 -3.157
Li Sm Pt Pm
1 1 1 1
direct
0.750 0.750 0.750 Li
0.000 0.000 0.000 Sm
0.250 0.250 0.250 Pt
0.500 0.500 0.500 Pm

2.
SrLiPmPt (GGA-PBE, relaxed); formation enthalpy at 0 K = -443.1 meV/atom
1.0
5.201 0.000 0.000
2.600 4.504 0.000
2.600 1.501 4.247
Sr Li Pt Pm
1 1 1 1
direct
0.250 0.250 0.250 Sr
0.500 0.500 0.500 Li
0.000 0.000 0.000 Pt
0.750 0.750 0.750 Pm

3.
SrLi2PmPt2 (GGA-PBE, relaxed); formation enthalpy at 0 K = -704.6 meV/atom
1.0
4.401 0.000 0.000
-2.201 3.812 0.000
0.000 0.000 7.926
Sr Li Pm Pt
1 2 1 2
direct
0.000 0.000 0.000 Sr
0.667 0.333 0.265 Li
0.333 0.667 0.735 Li
0.000 0.000 0.500 Pm
0.667 0.333 0.719 Pt
0.333 0.667 0.281 Pt

4.
LiTbPmPt (GGA-PBE, relaxed); formation enthalpy at 0 K = -593.9 meV/atom
1.0
-2.423 4.443 -0.080
-4.281 0.501 -2.653
-4.423 0.514 2.406
Li Tb Pt Pm
1 1 1 1
direct
0.250 0.250 0.250 Li
0.500 0.500 0.500 Tb
0.750 0.750 0.750 Pt
0.000 0.000 0.000 Pm

Fermi-level density of states (states/eV/f.u.)
3.80; 3.81; 1.70; 3.68